1.
A plane-wave DFT calculation with PBE-GGA was carried out for a relaxed structure of Li4GePPd2.

Cell: 4.214 4.214 6.002 Å, 90.00 90.00 90.00°
Space group P-4m2 (No. 115)
Asymmetric unit:
Li 0.000 0.000 0.000 [1 per cell]
Li 0.000 0.500 0.237 [2 per cell]
Li 0.500 0.500 0.500 [1 per cell]
Ge 0.000 0.000 0.500 [1 per cell]
P 0.500 0.500 0.000 [1 per cell]
Pd 0.000 0.500 0.758 [2 per cell]

Properties
**Final energy**: -4.097 eV/atom

2.
A plane-wave DFT calculation with PBE-GGA was carried out for a relaxed structure of Gd2InSnPt4.

Cell: 4.5856 4.5856 9.1344 Å, 90.00 90.00 120.00°
Space group P-3m1 (No. 164)
Asymmetric unit:
Gd 0.3333 0.6667 0.2502 [2 per cell]
In 0.0000 0.0000 0.5000 [1 per cell]
Sn 0.0000 0.0000 0.0000 [1 per cell]
Pt 0.3333 0.6667 0.5894 [2 per cell]
Pt 0.3333 0.6667 0.9106 [2 per cell]

Properties
**Total moment**: 0.01 μB per formula unit
**Final energy**: -6.010 eV/atom